(1)
# CrAg2Cl

CrAg2Cl after structural relaxation (GGA-PBE, Alexandria).

abc: 5.297 9.477 3.100
angles: 90.00 90.00 90.00
Sites, in units of the cell vectors:
1 Cr 0.000 0.000 0.000
2 Cr 0.500 0.500 0.000
3 Ag 0.250 0.250 0.500
4 Ag 0.250 0.750 0.500
5 Ag 0.750 0.250 0.500
6 Ag 0.750 0.750 0.500
7 Cl 0.000 0.500 0.000
8 Cl 0.500 0.000 0.000

- total magnetization (μB per formula unit) = 4.19
- calculated total energy (eV per atom) = -3.968
- formation energy without anion corrections (eV per atom) = 0.325
- relative energy among the computed polymorphs (eV per atom) = 0.262

---

(2)
# Pr2Sm2Sc3

Pr2Sm2Sc3 after structural relaxation (GGA-PBE, Alexandria).

abc: 6.164 11.173 6.265
angles: 90.00 94.32 90.00
Sites, in units of the cell vectors:
1 Pr 0.048 0.154 0.460
2 Pr 0.048 0.346 0.960
3 Pr 0.952 0.654 0.040
4 Pr 0.952 0.846 0.540
5 Sm 0.411 0.722 0.723
6 Sm 0.411 0.778 0.223
7 Sm 0.589 0.222 0.777
8 Sm 0.589 0.278 0.277
9 Sc 0.245 0.028 0.954
10 Sc 0.245 0.472 0.454
11 Sc 0.500 0.000 0.500
12 Sc 0.500 0.500 0.000
13 Sc 0.755 0.528 0.546
14 Sc 0.755 0.972 0.046

- total magnetization (μB per formula unit) = 0.00
- calculated total energy (eV per atom) = -5.226
- energy of formation (eV per atom) = 0.201

---

(3)
# Li2La2ErGe2

Li2La2ErGe2 after structural relaxation (GGA-PBE, Alexandria).

abc: 10.087 10.087 10.087
angles: 25.53 25.53 25.53
Sites, in units of the cell vectors:
1 Li 0.115 0.115 0.115
2 Li 0.885 0.885 0.885
3 La 0.377 0.377 0.377
4 La 0.623 0.623 0.623
5 Er 0.500 0.500 0.500
6 Ge 0.225 0.225 0.225
7 Ge 0.775 0.775 0.775

- total magnetization (μB per formula unit) = 0.00
- calculated total energy (eV per atom) = -4.427
- energy of formation (eV per atom) = -0.501